Density functional theory data (SCAN) for a crystal of TaIn2Tc relaxed with PBEsol.

Computed properties:
crystal system = orthorhombic
M_tot = 0.00 μB/cell

```
TaIn2Tc
1.0
-2.426 2.107 0.359
-2.734 -2.663 -2.842
1.049 -2.118 4.959
In Ta Tc
2 1 1
Direct
0.739 0.739 0.479
0.261 0.261 0.521
0.500 0.000 0.000
0.000 0.500 0.000
```



Density functional theory data (SCAN) for a crystal of CoNiRh2 relaxed with PBEsol.

Computed properties:
crystal system = tetragonal
M_tot = 4.43 μB/cell

```
CoNiRh2
1.0
-2.421 -0.914 -0.374
0.867 -2.441 0.353
-1.275 0.547 6.911
Ni Rh Co
1 2 1
Direct
0.500 0.500 0.736
0.000 0.000 0.991
0.500 0.500 0.261
0.000 0.000 0.512
```



Number 1: total DFT energy (no corrections) -1.53761 Ha/atom. Number 2: total DFT energy (no corrections) -0.92593 Ha/atom.